A plane-wave DFT calculation with PBE was carried out for crystalline CdB2Ir at its relaxed geometry.

Output
**Uncorrected energy**: -0.1521 hartree per atom

Unit cell a=4.2201 b=4.2201 c=4.2201 alpha=60.00 beta=60.00 gamma=60.00
Positions (direct):
Cd: 0.0000 0.0000 0.0000
B: 0.5000 0.5000 0.5000
B: 0.7500 0.7500 0.7500
Ir: 0.2500 0.2500 0.2500


A plane-wave DFT calculation with PBE was carried out for crystalline NbCoB2 at its relaxed geometry.

Output
**Energy relative to the lowest polymorph listed for this composition**: 1270 meV/atom
**Uncorrected energy**: -0.2566 hartree per atom

Unit cell a=3.8982 b=3.8982 c=3.8982 alpha=60.00 beta=60.00 gamma=60.00
Positions (direct):
Nb: 0.0000 0.0000 0.0000
Co: 0.2500 0.2500 0.2500
B: 0.5000 0.5000 0.5000
B: 0.7500 0.7500 0.7500


A plane-wave DFT calculation with PBE was carried out for crystalline ZrNi2As at its relaxed geometry.

Output
**Uncorrected energy**: -0.2359 hartree per atom

Unit cell a=4.3563 b=4.3563 c=4.3563 alpha=60.00 beta=60.00 gamma=60.00
Positions (direct):
Zr: 0.0000 0.0000 0.0000
Ni: 0.5000 0.5000 0.5000
Ni: 0.7500 0.7500 0.7500
As: 0.2500 0.2500 0.2500